{
  "formula": "La4Y3Tm2",
  "functional": "PBE-GGA",
  "state": "relaxed",
  "lattice": [[7.702, -2.583, 0.000], [7.702, 2.583, 0.000], [-2.539, 0.000, 7.671]],
  "species": ["La", "La", "La", "La", "Y", "Y", "Y", "Tm", "Tm"],
  "frac_coords": [[0.055, 0.055, 0.328], [0.277, 0.277, 0.669], [0.723, 0.723, 0.331], [0.945, 0.945, 0.672], [0.388, 0.388, 0.329], [0.500, 0.500, 0.000], [0.612, 0.612, 0.671], [0.168, 0.168, 0.000], [0.832, 0.832, 0.000]],
  "m_tot_mub_per_fu": 0.00,
  "spacegroup": "C2/m (12)",
  "relative_energy_ev_per_fu": 0.000,
  "e_form_kcal_per_mol_atoms": 0.8,
  "rho_g_cm3": 6.311
}


{
  "formula": "SrSc",
  "functional": "PBE-GGA",
  "state": "relaxed",
  "lattice": [[-5.307, 5.307, 5.307], [5.307, -5.307, 5.307], [5.307, 5.307, -5.307]],
  "species": ["Sr", "Sr", "Sr", "Sr", "Sc", "Sc", "Sc", "Sc"],
  "frac_coords": [[0.000, 0.000, 0.416], [0.000, 0.416, 0.000], [0.416, 0.000, 0.000], [0.584, 0.584, 0.584], [0.000, 0.000, 0.806], [0.000, 0.806, 0.000], [0.194, 0.194, 0.194], [0.806, 0.000, 0.000]],
  "m_tot_mub_per_fu": 0.99,
  "spacegroup": "I-43m (217)",
  "relative_energy_ev_per_fu": 1.661,
  "e_form_kcal_per_mol_atoms": 23.6,
  "rho_g_cm3": 1.473
}


{
  "formula": "NbAuS2Cl",
  "functional": "PBE-GGA",
  "state": "relaxed",
  "lattice": [[4.816, 0.000, 0.000], [0.000, 4.816, 0.000], [0.000, 0.000, 4.869]],
  "species": ["Nb", "Au", "S", "S", "Cl"],
  "frac_coords": [[0.000, 0.000, 0.000], [0.500, 0.500, 0.500], [0.000, 0.500, 0.000], [0.500, 0.000, 0.000], [0.000, 0.000, 0.500]],
  "m_tot_mub_per_fu": 0.00,
  "spacegroup": "P4/mmm (123)",
  "raw_formation_energy_ev_per_atom": -0.1075,
  "relative_energy_ev_per_fu": 0.000,
  "rho_g_cm3": 5.727
}


{
  "formula": "CoCu2W",
  "functional": "PBE-GGA",
  "state": "relaxed",
  "lattice": [[4.464, -1.329, 0.000], [4.464, 1.329, 0.000], [-0.852, 0.000, 4.275]],
  "species": ["Co", "Cu", "Cu", "W"],
  "frac_coords": [[0.000, 0.000, 0.000], [0.255, 0.255, 0.756], [0.745, 0.745, 0.244], [0.500, 0.500, 0.500]],
  "m_tot_mub_per_fu": 0.00,
  "spacegroup": "C2/m (12)",
  "relative_energy_ev_per_fu": 0.255,
  "e_form_kcal_per_mol_atoms": 5.8,
  "rho_g_cm3": 12.108
}